KSiHg2Ir: relaxed, GGA-PBE.

Output
- total moment (μB/f.u.) = 0.0
- uncorrected formation energy (eV/atom) = 0.209

Cell: 5.352 5.352 4.584 Å, 90.00 90.00 90.00°
Space group P4/mmm (No. 123)
Inequivalent atoms, fractional coordinates:
K 0.000 0.000 0.000
Si 0.500 0.500 0.500
Hg 0.000 0.500 0.500
Ir 0.500 0.500 0.000


KTa2HgIr: relaxed, GGA-PBE.

Output
- E_form (eV per atom) = 2.3974
- total moment (μB/f.u.) = 0.0

Cell: 5.076 5.076 5.305 Å, 90.00 90.00 90.00°
Space group P4/mmm (No. 123)
Inequivalent atoms, fractional coordinates:
K 0.000 0.000 0.000
Ta 0.000 0.500 0.500
Hg 0.000 0.000 0.500
Ir 0.500 0.500 0.000


KTi2HgIr: relaxed, GGA-PBE.

Output
- E_form (eV per atom) = 2.1346
- total moment (μB/f.u.) = 0.4

Cell: 4.382 4.382 5.143 Å, 90.00 90.00 90.00°
Space group P4/mmm (No. 123)
Inequivalent atoms, fractional coordinates:
K 0.000 0.000 0.000
Ti 0.000 0.500 0.000
Hg 0.000 0.000 0.500
Ir 0.500 0.500 0.500


KTlHg2Ir: relaxed, GGA-PBE.

Output
- E_form (eV per atom) = -0.0655
- total moment (μB/f.u.) = 0.0

Cell: 5.389 5.389 5.245 Å, 90.00 90.00 90.00°
Space group P4/mmm (No. 123)
Inequivalent atoms, fractional coordinates:
K 0.000 0.000 0.000
Tl 0.500 0.500 0.000
Hg 0.000 0.500 0.500
Ir 0.500 0.500 0.500


KZnHg2Ir: relaxed, GGA-PBE.

Output
- E_form (eV per atom) = -0.0657
- total moment (μB/f.u.) = 0.0

Cell: 5.337 5.337 4.893 Å, 90.00 90.00 90.00°
Space group P4/mmm (No. 123)
Inequivalent atoms, fractional coordinates:
K 0.000 0.000 0.000
Zn 0.500 0.500 0.000
Hg 0.000 0.500 0.500
Ir 0.500 0.500 0.500


KZnHg2Ir: relaxed, GGA-PBE.

Output
- E_form (eV per atom) = 1.0030
- total moment (μB/f.u.) = 1.6

Cell: 5.074 5.074 5.737 Å, 90.00 90.00 90.00°
Space group P4/mmm (No. 123)
Inequivalent atoms, fractional coordinates:
K 0.000 0.000 0.000
Zn 0.000 0.000 0.500
Hg 0.000 0.500 0.500
Ir 0.500 0.500 0.000


KZn2HgIr: relaxed, GGA-PBE.

Output
- E_form (eV per atom) = -0.0853
- total moment (μB/f.u.) = 0.0

Cell: 4.911 4.911 5.337 Å, 90.00 90.00 90.00°
Space group P4/mmm (No. 123)
Inequivalent atoms, fractional coordinates:
K 0.000 0.000 0.000
Zn 0.000 0.500 0.500
Hg 0.500 0.500 0.000
Ir 0.500 0.500 0.500


KZnHg2Ir: relaxed, GGA-PBE.

Output
- E_form (eV per atom) = 1.2368
- total moment (μB/f.u.) = 2.0

Cell: 6.869 6.869 6.130 Å, 90.00 90.00 90.00°
Space group P4/mmm (No. 123)
Inequivalent atoms, fractional coordinates:
K 0.000 0.000 0.000
Zn 0.500 0.500 0.500
Hg 0.000 0.500 0.000
Ir 0.000 0.000 0.500


La6HgIr4: relaxed, GGA-PBE.

Output
- E_form (eV per atom) = -0.6543
- total moment (μB/f.u.) = 0.0

Cell: 4.238 14.028 21.461 Å, 90.00 90.00 90.00°
Space group Cmcm (No. 63)
Inequivalent atoms, fractional coordinates:
La 0.000 0.000 0.000
La 0.000 0.166 0.250
La 0.000 0.267 0.582
La 0.000 0.467 0.153
Hg 0.000 0.153 0.750
Ir 0.000 0.101 0.129
Ir 0.000 0.364 0.043


LaHg2Ir: relaxed, GGA-PBE.

Output
- E_form (eV per atom) = -0.1480
- total moment (μB/f.u.) = 0.0

Cell: 4.180 4.180 22.614 Å, 90.00 90.00 90.00°
Space group I-42d (No. 122)
Inequivalent atoms, fractional coordinates:
La 0.000 0.000 0.000
Hg 0.231 0.250 0.625
Ir 0.000 0.000 0.500


La8Hg2Ir: relaxed, GGA-PBE.

Output
- E_form (eV per atom) = -0.3273
- total moment (μB/f.u.) = 0.0

Cell: 19.242 5.473 7.060 Å, 90.00 110.94 90.00°
Space group C2/m (No. 12)
Inequivalent atoms, fractional coordinates:
La 0.016 0.000 0.232
La 0.088 0.500 0.737
La 0.158 0.500 0.318
La 0.206 0.000 0.095
Hg 0.168 0.000 0.615
Ir 0.000 0.500 0.000


LaHg2Ir: relaxed, GGA-PBE.

Output
- E_form (eV per atom) = -0.1693
- total moment (μB/f.u.) = 0.0

Cell: 4.2614 4.2614 20.7020 Å, 90.00 90.00 120.00°
Space group R3m (No. 160, hexagonal axes)
Inequivalent atoms, fractional coordinates:
La 0.0000 0.0000 0.0000
Hg 0.0000 0.0000 0.2192
Hg 0.0000 0.0000 0.4672
Ir 0.0000 0.0000 0.7345


LaHg2Ir: relaxed, GGA-PBE.

Output
- E_form (eV per atom) = -0.2329
- total moment (μB/f.u.) = 0.0

Cell: 4.561 4.868 4.803 Å, 90.00 107.40 90.00°
Space group P2/m (No. 10)
Inequivalent atoms, fractional coordinates:
La 0.000 0.000 0.000
Hg 0.315 0.500 0.695
Ir 0.500 0.000 0.500


LaHg2Ir: relaxed, GGA-PBE.

Output
- E_form (eV per atom) = 0.1267
- total moment (μB/f.u.) = 0.0

Cell: 5.584 10.168 3.290 Å, 90.00 90.00 90.00°
Space group Cmmm (No. 65)
Inequivalent atoms, fractional coordinates:
La 0.000 0.000 0.000
Hg 0.250 0.250 0.500
Ir 0.000 0.500 0.000


La6HgIr3: relaxed, GGA-PBE.

Output
- E_form (eV per atom) = -0.6510
- total moment (μB/f.u.) = 0.0

Cell: 12.346 4.289 12.359 Å, 90.00 109.42 90.00°
Space group P2_1/m (No. 11)
Inequivalent atoms, fractional coordinates:
La 0.037 0.250 0.397
La 0.108 0.250 0.948
La 0.208 0.750 0.262
La 0.277 0.750 0.765
La 0.360 0.250 0.543
La 0.430 0.750 0.089
Hg 0.442 0.250 0.303
Ir 0.048 0.250 0.166
Ir 0.191 0.750 0.502
Ir 0.341 0.250 0.923


LaHg2Ir: relaxed, GGA-PBE.

Output
- E_form (eV per atom) = -0.1602
- total moment (μB/f.u.) = 0.0

Cell: 5.074 5.280 7.055 Å, 90.00 90.00 90.00°
Space group Imm2 (No. 44)
Inequivalent atoms, fractional coordinates:
La 0.000 0.000 0.000
Hg 0.000 0.000 0.509
Hg 0.000 0.500 0.764
Ir 0.000 0.500 0.198


La12Hg6Ir: relaxed, GGA-PBE.

Output
- E_form (eV per atom) = -0.3228
- total moment (μB/f.u.) = 0.0

Cell: 12.6243 12.6243 13.8126 Å, 90.00 90.00 120.00°
Space group R-3 (No. 148, hexagonal axes)
Inequivalent atoms, fractional coordinates:
La 0.0387 0.8473 0.3872
La 0.0412 0.1952 0.8761
Hg 0.0067 0.6043 0.2568
Ir 0.0000 0.0000 0.0000


La8Hg2Ir: relaxed, GGA-PBE.

Output
- E_form (eV per atom) = -0.2368
- total moment (μB/f.u.) = 0.0

Cell: 4.821 9.481 14.791 Å, 90.00 90.00 90.00°
Space group Immm (No. 71)
Inequivalent atoms, fractional coordinates:
La 0.000 0.000 0.119
La 0.000 0.225 0.351
La 0.000 0.345 0.000
Hg 0.000 0.500 0.207
Ir 0.000 0.500 0.500


La8Hg2Ir3: relaxed, GGA-PBE.

Output
- E_form (eV per atom) = -0.4973
- total moment (μB/f.u.) = 0.0

Cell: 8.887 4.844 10.078 Å, 90.00 102.89 90.00°
Space group P2/m (No. 10)
Inequivalent atoms, fractional coordinates:
La 0.031 0.000 0.335
La 0.160 0.500 0.918
La 0.317 0.500 0.614
La 0.408 0.000 0.139
Hg 0.251 0.500 0.269
Ir 0.000 0.500 0.500
Ir 0.282 0.000 0.817


La4Hg3Ir: relaxed, GGA-PBE.

Output
- E_form (eV per atom) = -0.5603
- total moment (μB/f.u.) = 0.0

Cell: 7.795 7.827 7.572 Å, 90.00 93.64 90.00°
Space group P2/c (No. 13)
Inequivalent atoms, fractional coordinates:
La 0.202 0.198 0.479
La 0.259 0.264 0.997
Hg 0.000 0.493 0.750
Hg 0.500 0.014 0.750
Hg 0.500 0.479 0.750
Ir 0.000 0.083 0.750


La2HgIr: relaxed, GGA-PBE.

Output
- E_form (eV per atom) = -0.6494
- total moment (μB/f.u.) = 0.0

Cell: 4.2602 4.2602 23.2692 Å, 90.00 90.00 120.00°
Space group R3m (No. 160, hexagonal axes)
Inequivalent atoms, fractional coordinates:
La 0.0000 0.0000 0.0000
La 0.0000 0.0000 0.2016
Hg 0.0000 0.0000 0.7677
Ir 0.0000 0.0000 0.6022


LaHg2Ir: relaxed, GGA-PBE.

Output
- E_form (eV per atom) = -0.0090
- total moment (μB/f.u.) = 0.3

Cell: 3.296 4.477 6.127 Å, 90.00 90.00 90.00°
Space group Pmmm (No. 47)
Inequivalent atoms, fractional coordinates:
La 0.000 0.000 0.000
Hg 0.500 0.500 0.276
Ir 0.000 0.000 0.500


La2HgIr: relaxed, GGA-PBE.

Output
- E_form (eV per atom) = -0.1975
- total moment (μB/f.u.) = 0.0

Cell: 3.659 3.659 8.424 Å, 90.00 90.00 90.00°
Space group P4mm (No. 99)
Inequivalent atoms, fractional coordinates:
La 0.000 0.000 0.000
La 0.500 0.500 0.404
Hg 0.000 0.000 0.632
Ir 0.500 0.500 0.826


La4Hg5Ir2: relaxed, GGA-PBE.

Output
- E_form (eV per atom) = -0.5751
- total moment (μB/f.u.) = 0.0

Cell: 7.953 3.847 9.800 Å, 90.00 94.67 90.00°
Space group P2/m (No. 10)
Inequivalent atoms, fractional coordinates:
La 0.182 0.000 0.345
La 0.217 0.000 0.940
Hg 0.171 0.500 0.643
Hg 0.459 0.500 0.170
Hg 0.500 0.500 0.500
Ir 0.079 0.500 0.142